(1)
First-principles (PBE) data for FePt2Rh5 after structural relaxation, as listed in the Alexandria database.

Cell lengths 3.856, 3.856, 15.431 Å; angles 90.00, 90.00, 90.00 degrees
Space group I4/mmm (No. 139)
Symmetry-distinct sites (fractional):
Fe 0.000 0.000 0.000 x2
Pt 0.000 0.000 0.251 x4
Rh 0.000 0.000 0.500 x2
Rh 0.000 0.500 0.120 x8

## Properties
Its density of states at the Fermi level is 1.41 states/eV per atom. As for the volume: 14.34 A^3/atom. Its mass density is 13.9 g/cm³. Its total energy is -7.219 eV/atom. The calculation puts the energy of formation from the pure elements at -0.06 eV/atom.

(2)
First-principles (PBE) data for Fe2SbAu after structural relaxation, as listed in the Alexandria database.

Cell lengths 4.021, 4.021, 4.022 Å; angles 90.00, 90.00, 90.00 degrees
Space group P4/mmm (No. 123)
Symmetry-distinct sites (fractional):
Fe 0.000 0.500 0.000 x2
Sb 0.000 0.000 0.500 x1
Au 0.500 0.500 0.500 x1

## Properties
Its density of states at the Fermi level is 0.91 states/eV per atom. As for the volume: 16.25 A^3/atom. Its mass density is 11.0 g/cm³. As for the formation energy without anion corrections: 250 meV per atom. Its total energy is -5.831 eV/atom.

(3)
First-principles (PBE) data for Pm3Sm2Tm6Pu after structural relaxation, as listed in the Alexandria database.

Cell lengths 6.149, 10.652, 11.628 Å; angles 90.00, 100.17, 90.00 degrees
Space group C2/m (No. 12)
Symmetry-distinct sites (fractional):
Pm 0.000 0.000 0.000 x2
Pm 0.000 0.333 0.000 x4
Sm 0.000 0.167 0.500 x4
Tm 0.246 0.500 0.253 x4
Tm 0.247 0.336 0.747 x8
Pu 0.000 0.500 0.500 x2

## Properties
Its density of states at the Fermi level is 1.84 states/eV per atom. As for the volume: 31.23 A^3/atom. Its mass density is 8.8 g/cm³. Its total energy is -5.362 eV/atom. The calculation puts the energy of formation from the pure elements at 0.04 eV/atom.

(4)
First-principles (PBE) data for LaNiTeN2 after structural relaxation, as listed in the Alexandria database.

Cell lengths 4.085, 4.085, 7.061 Å; angles 90.00, 90.00, 90.00 degrees
Space group P4/mmm (No. 123)
Symmetry-distinct sites (fractional):
La 0.000 0.000 0.000 x1
Ni 0.500 0.500 0.500 x1
Te 0.000 0.000 0.500 x1
N 0.000 0.500 0.000 x2

## Properties
Its density of states at the Fermi level is 1.44 states/eV per atom. As for the volume: 23.56 A^3/atom. Its mass density is 5.0 g/cm³. As for the formation energy without anion corrections: 1034 meV per atom. The energy relative to the lowest polymorph listed for this composition comes out at 499 meV per atom. Its total energy is -5.066 eV/atom.

(5)
First-principles (PBE) data for Pr2NdSmEr4 after structural relaxation, as listed in the Alexandria database.

Cell lengths 5.116, 5.141, 9.978 Å; angles 90.00, 90.00, 90.00 degrees
Space group Pmmm (No. 47)
Symmetry-distinct sites (fractional):
Pr 0.000 0.000 0.000 x1
Pr 0.500 0.500 0.500 x1
Nd 0.000 0.000 0.500 x1
Sm 0.500 0.500 0.000 x1
Er 0.000 0.500 0.249 x2
Er 0.500 0.000 0.249 x2

## Properties
Its density of states at the Fermi level is 1.33 states/eV per atom. As for the volume: 32.80 A^3/atom. Its mass density is 7.9 g/cm³. Its total energy is -4.643 eV/atom. The calculation puts the energy of formation from the pure elements at 0.02 eV/atom.

(6)
First-principles (PBE) data for BePb3C after structural relaxation, as listed in the Alexandria database.

Cell lengths 4.998, 4.998, 4.998 Å; angles 90.00, 90.00, 90.00 degrees
Space group Pm-3m (No. 221)
Symmetry-distinct sites (fractional):
Be 0.000 0.000 0.000 x1
Pb 0.000 0.500 0.500 x3
C 0.500 0.500 0.500 x1

## Properties
Its density of states at the Fermi level is 0.97 states/eV per atom. As for the volume: 24.97 A^3/atom. Its mass density is 8.5 g/cm³. The energy relative to the lowest polymorph listed for this composition comes out at 0 meV per atom. Its total energy is -3.480 eV/atom. The calculation puts the energy of formation from the pure elements at 1.33 eV/atom.

(7)
First-principles (PBE) data for Ti7SiBi2H2 after structural relaxation, as listed in the Alexandria database.

Cell lengths 5.712, 5.692, 11.617 Å; angles 90.00, 101.05, 90.00 degrees
Space group C2/m (No. 12)
Symmetry-distinct sites (fractional):
Ti 0.000 0.000 0.000 x2
Ti 0.147 0.000 0.400 x4
Ti 0.185 0.249 0.833 x8
Si 0.000 0.500 0.000 x2
Bi 0.137 0.500 0.357 x4
H 0.067 0.000 0.171 x4

## Properties
Its density of states at the Fermi level is 0.56 states/eV per atom. As for the volume: 15.45 A^3/atom. Its mass density is 7.0 g/cm³. Its total energy is -6.633 eV/atom.

(8)
First-principles (PBE) data for TbNd2DyEr6 after structural relaxation, as listed in the Alexandria database.

Cell lengths 8.976, 14.963, 9.664 Å; angles 90.00, 99.18, 90.00 degrees
Space group C2/c (No. 15)
Symmetry-distinct sites (fractional):
Tb 0.000 0.018 0.250 x4
Nd 0.244 0.052 0.543 x8
Dy 0.000 0.406 0.750 x4
Er 0.067 0.191 0.943 x8
Er 0.101 0.394 0.119 x8
Er 0.201 0.224 0.314 x8

## Properties
Its density of states at the Fermi level is 1.37 states/eV per atom. As for the volume: 32.03 A^3/atom. Its mass density is 8.4 g/cm³. Its total energy is -4.496 eV/atom. The calculation puts the energy of formation from the pure elements at 0.12 eV/atom.

Q: Number 8 is which compound?
A: TbNd2DyEr6

Q: The lowest mass density belongs to which entry?
A: LaNiTeN2

Q: Look up the mass density of the second one.
A: 11.0 g/cm³